8
Lattice="4.479 0.000 0.000 0.000 7.746 -0.155 0.000 2.725 7.255" Properties=species:S:1:pos:R:3 comment="AcHoEr2Sb4 PBE-GGA optimized geometry" magmom_total_mub_per_fu=0.00 spacegroup="No. 10" raw_formation_energy_ev_per_atom=-1.09 dos_ef_per_ev_cell=1.09 pbc="T T T"
Er 2.239 1.362 3.628
Er 0.000 2.725 7.255
Sb 0.000 7.943 5.200
Sb 2.239 3.888 5.349
Sb 2.239 6.582 1.752
Sb 4.479 2.528 1.901
Ac 2.239 3.873 -0.077
Ho 0.000 5.235 3.550


8
Lattice="5.226 0.000 0.000 0.000 5.226 0.000 0.000 0.000 10.469" Properties=species:S:1:pos:R:3 comment="La6PrHo PBE-GGA optimized geometry" magmom_total_mub_per_fu=0.00 spacegroup="No. 123" e_form_ev_per_fu=0.06 dos_ef_per_ev_cell=12.52 pbc="T T T"
La 2.613 2.613 0.000
La 2.613 0.000 7.832
La 2.613 2.613 5.235
La 2.613 0.000 2.637
La 0.000 2.613 7.832
La 0.000 2.613 2.637
Ho 0.000 0.000 5.235
Pr 0.000 0.000 0.000


10
Lattice="3.924 0.000 0.000 0.000 6.432 -0.247 0.000 -1.684 7.392" Properties=species:S:1:pos:R:3 comment="TmSbSeO2 PBE-GGA optimized geometry" magmom_total_mub_per_fu=0.00 spacegroup="No. 11" raw_formation_energy_ev_per_atom=-2.02 dos_ef_per_ev_cell=0.00 pbc="T T T"
O 0.981 2.148 4.445
O 2.943 2.600 2.700
O 2.943 1.866 6.277
O 0.981 2.881 0.868
Sb 2.943 1.047 4.330
Sb 0.981 3.701 2.815
Tm 2.943 1.875 0.472
Tm 0.981 2.873 6.673
Se 2.943 5.680 1.267
Se 0.981 -0.933 5.878


6
Lattice="-2.808 0.898 -1.947 -2.011 0.012 2.905 1.979 9.079 1.333" Properties=species:S:1:pos:R:3 comment="CaNbO PBE-GGA optimized geometry" magmom_total_mub_per_fu=0.00 spacegroup="No. 129" raw_formation_energy_ev_per_atom=-1.03 dos_ef_per_ev_cell=2.25 pbc="T T T"
Ca -0.666 3.838 -0.476
Ca 0.235 5.696 2.288
Nb -2.410 0.455 0.479
Nb 0.000 0.000 0.000
O -0.182 6.057 -0.150
O -0.249 3.477 1.963


5
Lattice="-0.586 -2.125 -3.098 -1.596 -2.698 2.152 -5.165 5.413 -0.402" Properties=species:S:1:pos:R:3 comment="Ho2SnO2 PBE-GGA optimized geometry" magmom_total_mub_per_fu=0.00 spacegroup="No. 139" raw_formation_energy_ev_per_atom=-2.60 dos_ef_per_ev_cell=1.81 pbc="T T T"
O -3.421 0.439 -1.986
O -3.926 0.152 0.639
Ho -3.213 -1.393 -0.770
Ho -4.134 1.984 -0.578
Sn 0.000 0.000 0.000


5
Lattice="-3.509 -2.207 -1.636 2.278 -3.821 0.270 -1.536 -0.624 4.137" Properties=species:S:1:pos:R:3 comment="Mn3FeSe PBE-GGA optimized geometry" magmom_total_mub_per_fu=10.08 spacegroup="No. 221" polymorph_energy_ev_per_atom=0.252 raw_formation_energy_ev_per_atom=1.09 dos_ef_per_ev_cell=9.49 pbc="T T T"
Fe -1.384 -3.326 1.385
Mn 1.139 -1.910 0.135
Mn -1.754 -1.104 -0.818
Mn -0.768 -0.312 2.068
Se 0.000 0.000 0.000


5
Lattice="-5.062 0.242 -1.572 -0.950 -5.081 2.279 -1.316 2.307 4.594" Properties=species:S:1:pos:R:3 comment="SrCa2IrPt PBE-GGA optimized geometry" magmom_total_mub_per_fu=0.00 spacegroup="No. 123" polymorph_energy_ev_per_atom=0.000 e_form_ev_per_fu=-0.16 dos_ef_per_ev_cell=4.15 pbc="T T T"
Ca -2.531 0.121 -0.786
Ca -0.658 1.153 2.297
Pt -3.665 -1.266 2.650
Ir 0.000 0.000 0.000
Sr -0.475 -2.540 1.139


12
Lattice="-6.385 -4.048 2.235 3.880 -2.048 -6.550 6.040 -3.500 6.260" Properties=species:S:1:pos:R:3 comment="Cs3Sm2MgTe6 PBE-GGA optimized geometry" magmom_total_mub_per_fu=0.00 spacegroup="No. 12" raw_formation_energy_ev_per_atom=-1.15 dos_ef_per_ev_cell=9.26 pbc="T T T"
Te 4.623 -7.241 0.310
Te -1.088 -2.356 1.636
Te -0.699 -5.171 -1.994
Te 1.293 -7.889 3.159
Te 4.234 -4.426 3.940
Te 2.241 -1.708 -1.214
Sm -2.958 -3.381 -0.697
Sm 0.453 -2.716 -3.617
Cs -1.623 -5.459 3.875
Cs 1.767 -4.798 0.973
Cs 5.158 -4.138 -1.929
Mg 0.000 0.000 0.000


11
Lattice="-5.942 -2.875 -1.663 3.392 -5.409 -2.758 0.898 -2.613 6.221" Properties=species:S:1:pos:R:3 comment="Ho2Zr2In7 PBE-GGA optimized geometry" magmom_total_mub_per_fu=0.00 spacegroup="No. 12" e_form_ev_per_fu=1.57 dos_ef_per_ev_cell=7.50 pbc="T T T"
Ho -2.427 -7.190 2.346
Ho 0.774 -3.708 -0.546
In -3.038 -8.083 -0.548
In -1.127 -5.548 4.618
In -0.115 -6.590 0.313
In 0.000 0.000 0.000
In -1.537 -4.307 1.487
In 1.386 -2.815 2.348
In -0.525 -5.349 -2.819
Zr -3.964 -2.806 0.610
Zr 2.311 -8.092 1.190


16
Lattice="-5.074 -0.778 3.124 1.077 -5.905 0.278 4.072 1.067 6.880" Properties=species:S:1:pos:R:3 comment="CdAgAu14 PBE-GGA optimized geometry" magmom_total_mub_per_fu=0.00 spacegroup="No. 123" e_form_ev_per_fu=-0.58 dos_ef_per_ev_cell=3.78 pbc="T T T"
Au 0.023 -0.426 7.150
Au -2.018 -0.961 3.701
Au 2.555 -0.038 5.591
Au 3.092 -2.984 5.730
Au -1.499 -2.506 1.276
Au 0.560 -3.373 7.288
Au -3.497 -5.848 2.977
Au -2.000 -2.362 6.277
Au -4.035 -2.895 2.837
Au 1.052 -3.519 2.281
Au 1.076 -4.925 4.855
Au 0.514 -0.573 2.143
Au -1.480 -3.908 3.840
Au -0.960 -5.459 1.415
Ag 0.537 -1.973 4.715
Cd -1.461 -5.314 6.416


9
Lattice="-3.494 0.995 -4.463 -3.556 -4.122 1.864 -6.235 8.437 6.763" Properties=species:S:1:pos:R:3 comment="Cs2PuTlBr5 PBE-GGA optimized geometry" magmom_total_mub_per_fu=5.95 spacegroup="No. 123" raw_formation_energy_ev_per_atom=-1.42 dos_ef_per_ev_cell=17.29 pbc="T T T"
Br -4.607 6.233 4.997
Br -1.628 2.203 1.766
Br -4.864 4.716 1.150
Br -3.525 -1.564 -1.299
Br -4.895 2.157 4.313
Pu -3.118 4.218 3.381
Cs -5.271 0.800 0.595
Cs -8.013 4.510 3.569
Tl 0.000 0.000 0.000


16
Lattice="-2.911 -0.134 1.226 -0.148 -3.095 -4.766 2.691 -8.531 5.457" Properties=species:S:1:pos:R:3 comment="PaTi2VN4 PBE-GGA optimized geometry" magmom_total_mub_per_fu=0.00 spacegroup="No. 63" raw_formation_energy_ev_per_atom=-1.34 dos_ef_per_ev_cell=9.21 pbc="T T T"
Ti -0.629 -4.776 2.060
Ti 0.261 -6.984 -0.144
Ti 1.382 -10.534 2.127
Ti -1.749 -1.226 -0.211
N 0.190 -9.085 3.533
N 0.588 -9.219 0.387
N 0.000 0.000 0.000
N 0.175 -4.998 -0.131
N -0.543 -6.762 2.047
N -0.557 -2.675 -1.617
N 1.346 -4.265 2.728
N -0.956 -2.541 1.529
V -0.532 -8.626 1.867
V 0.165 -3.134 0.048
Pa -2.052 -4.704 -1.312
Pa 1.685 -7.056 3.228


5
Lattice="5.158 0.000 0.000 0.000 5.158 0.000 0.000 0.000 7.218" Properties=species:S:1:pos:R:3 comment="AlSb2ICl PBE-GGA optimized geometry" magmom_total_mub_per_fu=0.00 spacegroup="No. 123" polymorph_energy_ev_per_atom=0.383 raw_formation_energy_ev_per_atom=0.67 dos_ef_per_ev_cell=4.54 pbc="T T T"
Al 2.579 2.579 3.609
Sb 2.579 0.000 0.000
Sb 0.000 2.579 0.000
I 0.000 0.000 3.609
Cl 0.000 0.000 0.000


12
Lattice="6.483 -1.923 2.792 0.752 5.863 2.273 2.775 -2.372 10.991" Properties=species:S:1:pos:R:3 comment="CaNd7Tm4 PBE-GGA optimized geometry" magmom_total_mub_per_fu=0.00 spacegroup="No. 2" e_form_ev_per_fu=0.26 dos_ef_per_ev_cell=15.17 pbc="T T T"
Nd 5.387 -0.759 6.098
Nd 7.415 1.632 7.909
Nd 3.241 -0.961 1.396
Nd 4.843 0.051 12.825
Nd 4.623 2.327 9.958
Nd 2.595 -0.064 8.147
Nd 5.167 1.518 3.231
Tm 2.163 0.173 4.636
Tm 7.847 1.396 11.420
Tm 5.910 -1.073 9.580
Tm 4.100 2.641 6.476
Ca 0.000 0.000 0.000


12
Lattice="5.830 0.000 0.000 0.000 8.298 0.005 -2.915 -2.073 6.042" Properties=species:S:1:pos:R:3 comment="Sm3As2H PBE-GGA optimized geometry" magmom_total_mub_per_fu=0.00 spacegroup="No. 15" dft_energy_ev_per_fu=-33.1 dos_ef_per_ev_cell=5.50 pbc="T T T"
Sm 0.005 4.152 2.024
Sm 3.084 6.224 0.004
Sm 2.920 6.222 4.025
Sm 2.746 2.075 0.001
Sm -0.005 0.003 2.022
Sm 2.910 2.073 4.022
As -0.004 2.075 4.004
As 2.911 0.000 2.040
As 0.004 6.225 4.006
As 2.920 4.149 2.043
H 5.562 6.224 0.004
H 0.268 2.075 0.001


4
Lattice="-0.590 0.882 -3.805 -3.519 -1.790 0.131 -3.116 6.268 1.936" Properties=species:S:1:pos:R:3 comment="CeLu2Bi PBE-GGA optimized geometry" magmom_total_mub_per_fu=0.61 spacegroup="No. 123" polymorph_energy_ev_per_atom=0.042 e_form_ev_per_fu=-0.99 dos_ef_per_ev_cell=6.84 pbc="T T T"
Bi -2.054 -0.454 -1.837
Lu -2.395 4.819 1.488
Lu -0.721 1.450 0.448
Ce -3.612 2.680 -0.869


4
Lattice="4.337 0.000 0.000 2.168 3.756 0.000 2.168 1.252 12.499" Properties=species:S:1:pos:R:3 comment="RbAc2Au PBE-GGA optimized geometry" magmom_total_mub_per_fu=0.00 spacegroup="No. 166" e_form_ev_per_fu=-0.67 dos_ef_per_ev_cell=5.57 pbc="T T T"
Ac 2.168 1.252 8.147
Ac 6.505 3.756 4.352
Rb 0.000 0.000 0.000
Au 4.337 2.504 6.249


9
Lattice="5.404 0.000 2.166 2.653 6.431 1.205 0.308 -0.118 7.054" Properties=species:S:1:pos:R:3 comment="LiSm4Se4 PBE-GGA optimized geometry" magmom_total_mub_per_fu=0.00 spacegroup="No. 12" raw_formation_energy_ev_per_atom=-1.51 dos_ef_per_ev_cell=4.79 pbc="T T T"
Li 0.000 0.000 0.000
Sm 1.747 1.247 3.464
Sm 6.618 5.065 6.961
Sm 4.893 3.878 3.441
Sm 3.472 2.434 6.985
Se 2.207 3.964 2.317
Se 3.880 5.104 5.966
Se 6.158 2.348 8.108
Se 4.484 1.209 4.459


4
Lattice="-0.785 0.007 -3.807 1.376 -2.837 -2.273 -7.777 -6.119 -0.392" Properties=species:S:1:pos:R:3 comment="La2ErPd PBE-GGA optimized geometry" magmom_total_mub_per_fu=0.00 spacegroup="No. 160" polymorph_energy_ev_per_atom=0.070 e_form_ev_per_fu=-1.01 dos_ef_per_ev_cell=5.22 pbc="T T T"
La -1.412 -1.988 -1.697
La -6.163 -5.071 -0.723
Er -3.609 -4.485 -3.232
Pd -7.372 -7.999 -4.447


15
Lattice="8.846 0.000 0.000 -4.423 7.647 -0.032 0.000 -5.072 8.264" Properties=species:S:1:pos:R:3 comment="Ac8Ni3PI3 PBE-GGA optimized geometry" magmom_total_mub_per_fu=0.00 spacegroup="No. 12" raw_formation_energy_ev_per_atom=-0.68 dos_ef_per_ev_cell=14.75 pbc="T T T"
P 0.000 -2.536 4.132
Ac 6.556 -1.218 2.525
Ac 0.000 0.110 5.727
Ac 4.423 0.012 5.644
Ac 4.423 2.464 2.506
Ac 2.290 -1.218 2.525
Ac 0.000 2.562 2.588
Ac -2.133 3.792 5.707
Ac 2.133 3.792 5.707
Ni 2.211 1.287 4.116
Ni 4.423 -2.536 4.132
Ni -2.211 1.287 4.116
I 0.000 0.000 0.000
I -2.211 3.823 -0.016
I 2.211 3.823 -0.016


5
Lattice="-1.760 -3.915 -1.051 3.791 -1.184 -1.939 1.436 -1.674 3.830" Properties=species:S:1:pos:R:3 comment="Cu3SiAs PBE-GGA optimized geometry" magmom_total_mub_per_fu=0.00 spacegroup="No. 221" polymorph_energy_ev_per_atom=0.000 raw_formation_energy_ev_per_atom=0.61 dos_ef_per_ev_cell=3.13 pbc="T T T"
Cu 1.895 -0.592 -0.970
Cu -0.880 -1.958 -0.526
Cu 0.718 -0.837 1.915
As 1.733 -3.387 0.420
Si 0.000 0.000 0.000


28
Lattice="6.998 0.000 0.000 0.000 10.918 0.000 0.000 0.000 13.787" Properties=species:S:1:pos:R:3 comment="Na6Ca PBE-GGA optimized geometry" magmom_total_mub_per_fu=0.00 spacegroup="No. 62" polymorph_energy_ev_per_atom=0.000 e_form_ev_per_fu=0.52 dos_ef_per_ev_cell=17.76 pbc="T T T"
Na 3.584 6.184 11.160
Na 5.249 3.957 8.977
Na 1.750 6.960 4.809
Na 0.085 10.192 4.266
Na 5.249 9.416 11.703
Na 5.249 6.577 0.314
Na 3.584 0.725 9.521
Na 1.750 4.341 13.473
Na 5.249 1.118 6.580
Na 3.414 10.192 4.266
Na 1.750 0.635 12.698
Na 5.249 7.524 3.639
Na 1.750 1.501 2.084
Na 5.249 4.824 5.804
Na 1.750 9.799 7.207
Na 6.913 0.725 9.521
Na 6.913 6.184 11.160
Na 5.249 10.283 1.089
Na 1.750 6.093 7.983
Na 3.414 4.734 2.627
Na 1.750 3.393 10.148
Na 1.750 8.852 10.533
Na 0.085 4.734 2.627
Na 5.249 2.066 3.254
Ca 5.249 8.206 7.853
Ca 5.249 2.747 12.827
Ca 1.750 8.171 0.960
Ca 1.750 2.712 5.933